DFT (GGA-PBE) results for a relaxed structure of Sr4AcSi4.

Cell lengths 6.3706, 9.7573, 9.7573 Å; angles 90.00, 90.00, 90.00 degrees
Atoms (fractional coordinates):
Sr  0.3683  0.3159  0.9145
Sr  0.8683  0.5855  0.8159
Sr  0.3683  0.6841  0.0855
Sr  0.1317  0.1841  0.5855
Sr  0.6317  0.9145  0.6841
Sr  0.1317  0.8159  0.4145
Sr  0.8683  0.4145  0.1841
Sr  0.6317  0.0855  0.3159
Ac  0.0000  0.0000  0.0000
Ac  0.5000  0.5000  0.5000
Si  0.6513  0.7607  0.3555
Si  0.6513  0.2393  0.6445
Si  0.1513  0.8555  0.7393
Si  0.8487  0.2607  0.8555
Si  0.8487  0.7393  0.1445
Si  0.3487  0.3555  0.2393
Si  0.3487  0.6445  0.7607
Si  0.1513  0.1445  0.2607

Summary:
total energy = -3.880 eV per atom
crystal system = tetragonal
mass density = 3.78 Mg/m³
space group = P4_2/n (86)

***

DFT (GGA-PBE) results for a relaxed structure of CaBe2S2.

Cell lengths 4.3521, 4.3521, 5.0938 Å; angles 64.71, 64.71, 90.00 degrees
Atoms (fractional coordinates):
Be  0.3570  0.3570  0.2861
Be  0.6430  0.6430  0.7139
Ca  0.0000  0.0000  0.0000
S  0.7500  0.2500  0.5000
S  0.2500  0.7500  0.5000

Summary:
total energy = -4.200 eV per atom
crystal system = tetragonal
mass density = 2.64 Mg/m³
space group = I4/mmm (139)
distance to the lowest polymorph of the same formula = 0.00 eV per formula unit

***

DFT (GGA-PBE) results for a relaxed structure of KMg2ZnAs.

Cell lengths 5.2603, 5.5136, 5.2603 Å; angles 90.00, 90.00, 90.00 degrees
Atoms (fractional coordinates):
K  0.5000  0.5000  0.5000
As  0.0000  0.0000  0.0000
Mg  0.0000  0.0000  0.5000
Mg  0.5000  0.0000  0.0000
Zn  0.0000  0.5000  0.0000

Summary:
total energy = -1.894 eV per atom
crystal system = tetragonal
mass density = 2.48 Mg/m³
space group = P4/mmm (123)

***

DFT (GGA-PBE) results for a relaxed structure of IrPbW2.

Cell lengths 4.9694, 4.9694, 5.0714 Å; angles 77.35, 77.35, 36.52 degrees
Atoms (fractional coordinates):
Ir  0.4811  0.4811  0.5537
Pb  0.2535  0.2535  0.2434
W  0.0225  0.0225  0.9629
W  0.7429  0.7429  0.7400

Summary:
total energy = -8.965 eV per atom
crystal system = monoclinic
mass density = 17.56 Mg/m³
space group = Cm (8)

***

DFT (GGA-PBE) results for a relaxed structure of Dy3BiC.

Cell lengths 4.1819, 8.3825, 8.4085 Å; angles 76.73, 90.00, 104.44 degrees
Atoms (fractional coordinates):
Dy  0.0434  0.0868  0.1539
Dy  0.9566  0.9132  0.8461
Dy  0.6747  0.3494  0.8692
Dy  0.3253  0.6506  0.1308
Dy  0.8392  0.6785  0.4378
Dy  0.1608  0.3215  0.5622
Bi  0.3367  0.6734  0.7262
Bi  0.6633  0.3266  0.2738
C  0.0996  0.1993  0.8614
C  0.9004  0.8007  0.1386

Summary:
total energy = -5.718 eV per atom
crystal system = monoclinic
mass density = 8.48 Mg/m³
space group = C2/m (12)
distance to the lowest polymorph of the same formula = 0.99 eV per formula unit

***

DFT (GGA-PBE) results for a relaxed structure of NaLa2RuF.

Cell lengths 5.4551, 4.6727, 5.4551 Å; angles 90.00, 90.00, 90.00 degrees
Atoms (fractional coordinates):
Ru  0.0000  0.0000  0.0000
F  0.0000  0.5000  0.0000
Na  0.5000  0.5000  0.5000
La  0.0000  0.0000  0.5000
La  0.5000  0.0000  0.0000

Summary:
total energy = -4.832 eV per atom
crystal system = tetragonal
mass density = 5.03 Mg/m³
space group = P4/mmm (123)

***

Among the records above, which one has the highest mass density?
IrPbW2

***

What is the mass density in the first record?
3.78 Mg/m³